(1)
CaCu3Sb2, relaxed, DFT PBE-GGA; spin magnetization = 0.00 μB/f.u.; ΔE_f (raw) = -1.4 eV/f.u.; total energy = -47.9 eV/cell; space-group type = C2/m
1.0
7.844 -2.269 0.000
7.844 2.269 0.000
-3.717 0.000 6.680
Ca Cu Sb
2 6 4
direct
0.136 0.136 0.135
0.864 0.864 0.865
0.002 0.002 0.344
0.308 0.308 0.083
0.308 0.308 0.533
0.692 0.692 0.467
0.692 0.692 0.917
0.998 0.998 0.656
0.182 0.182 0.683
0.500 0.500 0.192
0.500 0.500 0.808
0.818 0.818 0.317

(2)
Ca2CuSb, relaxed, DFT PBE-GGA; spin magnetization = 0.00 μB/f.u.; ΔE_f (raw) = -0.2 eV/f.u.; total energy = -24.8 eV/cell; space-group type = I-42d
1.0
-3.074 3.074 8.170
3.074 -3.074 8.170
3.074 3.074 -8.170
Ca Cu Sb
4 2 2
direct
0.116 0.625 0.991
0.375 0.366 0.491
0.634 0.125 0.009
0.875 0.884 0.509
0.000 0.000 0.000
0.750 0.250 0.500
0.250 0.750 0.500
0.500 0.500 0.000

(3)
Ca2CuSb, relaxed, DFT PBE-GGA; spin magnetization = 0.00 μB/f.u.; ΔE_f (raw) = -2.3 eV/f.u.; total energy = -14.5 eV/cell; space-group type = Amm2
1.0
4.411 0.000 0.000
0.000 2.182 5.649
0.000 -2.182 5.649
Ca Cu Sb
2 1 1
direct
0.000 0.000 0.000
0.500 0.285 0.285
0.000 0.714 0.714
0.500 0.573 0.573

(4)
CaCu2Sb2, relaxed, DFT PBE-GGA; spin magnetization = 0.00 μB/f.u.; ΔE_f (raw) = -1.2 eV/f.u.; total energy = -19.6 eV/cell; space-group type = I4/mmm
1.0
-2.394 2.394 4.891
2.394 -2.394 4.891
2.394 2.394 -4.891
Ca Cu Sb
1 2 2
direct
0.000 0.000 0.000
0.375 0.375 0.000
0.625 0.625 0.000
0.250 0.750 0.500
0.750 0.250 0.500

(5)
CaCuSb2, relaxed, DFT PBE-GGA; spin magnetization = 0.00 μB/f.u.; ΔE_f (raw) = -0.4 eV/f.u.; total energy = -14.7 eV/cell; space-group type = Fm-3m
1.0
0.000 3.647 3.647
3.647 0.000 3.647
3.647 3.647 0.000
Ca Cu Sb
1 1 2
direct
0.000 0.000 0.000
0.500 0.500 0.500
0.250 0.250 0.250
0.750 0.750 0.750

(6)
CaCuSb2, relaxed, DFT PBE-GGA; spin magnetization = 0.00 μB/f.u.; ΔE_f (raw) = -1.3 eV/f.u.; total energy = -15.7 eV/cell; space-group type = P-1
1.0
4.128 0.000 0.000
-0.006 4.509 0.000
-0.051 -1.212 5.817
Ca Cu Sb
1 1 2
direct
0.000 0.000 0.000
0.000 0.500 0.500
0.499 0.605 0.257
0.501 0.395 0.743

(7)
CaCuSb4, relaxed, DFT PBE-GGA; spin magnetization = 0.00 μB/f.u.; ΔE_f (raw) = 0.7 eV/f.u.; total energy = -21.9 eV/cell; space-group type = F-43m
1.0
0.000 4.396 4.396
4.396 0.000 4.396
4.396 4.396 0.000
Ca Cu Sb
1 1 4
direct
0.000 0.000 0.000
0.750 0.750 0.750
0.376 0.376 0.376
0.376 0.376 0.872
0.376 0.872 0.376
0.872 0.376 0.376

(8)
CaCuSb2, relaxed, DFT PBE-GGA; spin magnetization = 0.00 μB/f.u.; ΔE_f (raw) = -0.6 eV/f.u.; total energy = -15.0 eV/cell; space-group type = P4mm
1.0
3.882 0.000 0.000
0.000 3.882 0.000
0.000 0.000 6.572
Ca Cu Sb
1 1 2
direct
0.000 0.000 0.000
0.500 0.500 0.344
0.000 0.000 0.470
0.500 0.500 0.753

(9)
CaCuSb2, relaxed, DFT PBE-GGA; spin magnetization = 0.00 μB/f.u.; ΔE_f (raw) = -0.9 eV/f.u.; total energy = -15.2 eV/cell; space-group type = R-3m
1.0
2.132 1.231 6.523
-2.132 1.231 6.523
0.000 -2.462 6.523
Ca Cu Sb
1 1 2
direct
0.000 0.000 0.000
0.500 0.500 0.500
0.228 0.228 0.228
0.772 0.772 0.772

(10)
CaCuSb2, relaxed, DFT PBE-GGA; spin magnetization = 0.00 μB/f.u.; ΔE_f (raw) = -1.0 eV/f.u.; total energy = -15.4 eV/cell; space-group type = P4/mmm
1.0
4.703 0.000 0.000
0.000 4.703 0.000
0.000 0.000 4.253
Ca Cu Sb
1 1 2
direct
0.000 0.000 0.000
0.500 0.500 0.000
0.000 0.500 0.500
0.500 0.000 0.500

(11)
CaCuSb2, relaxed, DFT PBE-GGA; spin magnetization = 0.00 μB/f.u.; ΔE_f (raw) = -1.4 eV/f.u.; total energy = -15.7 eV/cell; space-group type = P2/m
1.0
4.324 0.000 0.000
0.000 4.172 0.000
-0.373 0.000 6.139
Ca Cu Sb
1 1 2
direct
0.000 0.000 0.000
0.500 0.000 0.500
0.470 0.500 0.751
0.530 0.500 0.249

(12)
CaCuSb2, relaxed, DFT PBE-GGA; spin magnetization = 0.00 μB/f.u.; ΔE_f (raw) = -1.0 eV/f.u.; total energy = -30.7 eV/cell; space-group type = I-42d
1.0
-2.643 2.643 8.558
2.643 -2.643 8.558
2.643 2.643 -8.558
Ca Cu Sb
2 2 4
direct
0.000 0.000 0.000
0.750 0.250 0.500
0.250 0.750 0.500
0.500 0.500 0.000
0.243 0.625 0.118
0.375 0.493 0.618
0.507 0.125 0.882
0.875 0.757 0.382

(13)
CaCuSb2, relaxed, DFT PBE-GGA; spin magnetization = 0.00 μB/f.u.; ΔE_f (raw) = -0.7 eV/f.u.; total energy = -15.1 eV/cell; space-group type = I4/mmm
1.0
-2.244 2.244 4.803
2.244 -2.244 4.803
2.244 2.244 -4.803
Ca Cu Sb
1 1 2
direct
0.000 0.000 0.000
0.500 0.500 0.000
0.250 0.750 0.500
0.750 0.250 0.500

(14)
CaCu2Sb2, relaxed, DFT PBE-GGA; spin magnetization = 0.00 μB/f.u.; ΔE_f (raw) = -1.6 eV/f.u.; total energy = -20.0 eV/cell; space-group type = I4/mmm
1.0
-2.168 2.168 5.980
2.168 -2.168 5.980
2.168 2.168 -5.980
Ca Cu Sb
1 2 2
direct
0.000 0.000 0.000
0.250 0.750 0.500
0.750 0.250 0.500
0.374 0.374 0.000
0.626 0.626 0.000

(15)
CaCuSb2, relaxed, DFT PBE-GGA; spin magnetization = 0.00 μB/f.u.; ΔE_f (raw) = -0.2 eV/f.u.; total energy = -14.6 eV/cell; space-group type = F-43m
1.0
0.000 3.670 3.670
3.670 0.000 3.670
3.670 3.670 0.000
Ca Cu Sb
1 1 2
direct
0.000 0.000 0.000
0.250 0.250 0.250
0.500 0.500 0.500
0.750 0.750 0.750

(16)
Ca2CuSb2, relaxed, DFT PBE-GGA; spin magnetization = 0.00 μB/f.u.; ΔE_f (raw) = -2.6 eV/f.u.; total energy = -37.9 eV/cell; space-group type = P4/mbm
1.0
7.432 0.000 0.000
0.000 7.432 0.000
0.000 0.000 4.712
Ca Cu Sb
4 2 4
direct
0.168 0.332 0.000
0.332 0.832 0.000
0.668 0.168 0.000
0.832 0.668 0.000
0.000 0.000 0.500
0.500 0.500 0.500
0.145 0.645 0.500
0.355 0.145 0.500
0.645 0.855 0.500
0.855 0.355 0.500

(17)
CaCuSbSe2, relaxed, DFT PBE-GGA; spin magnetization = 0.00 μB/f.u.; ΔE_f (raw) = 2.8 eV/f.u.; total energy = -14.4 eV/cell; space-group type = P4/mmm
1.0
5.349 0.000 0.000
0.000 5.349 0.000
0.000 0.000 5.833
Ca Cu Sb Se
1 1 1 2
direct
0.000 0.000 0.000
0.500 0.500 0.500
0.000 0.000 0.500
0.000 0.500 0.000
0.500 0.000 0.000

(18)
SrCaCu2Sb2, relaxed, DFT PBE-GGA; spin magnetization = 0.00 μB/f.u.; ΔE_f (raw) = -4.2 eV/f.u.; total energy = -24.3 eV/cell; space-group type = P-3m1
1.0
4.509 0.000 0.000
-2.255 3.905 0.000
0.000 0.000 8.544
Sr Ca Cu Sb
1 1 2 2
direct
0.000 0.000 0.000
0.000 0.000 0.500
0.333 0.667 0.731
0.667 0.333 0.269
0.333 0.667 0.261
0.667 0.333 0.739

(19)
CaCuTcSb2, relaxed, DFT PBE-GGA; spin magnetization = 0.00 μB/f.u.; ΔE_f (raw) = 0.6 eV/f.u.; total energy = -24.1 eV/cell; space-group type = P4/mmm
1.0
5.123 0.000 0.000
0.000 5.123 0.000
0.000 0.000 4.910
Ca Cu Tc Sb
1 1 1 2
direct
0.000 0.000 0.000
0.500 0.500 0.000
0.500 0.500 0.500
0.000 0.500 0.500
0.500 0.000 0.500

(20)
CaCuSb2Te, relaxed, DFT PBE-GGA; spin magnetization = 0.00 μB/f.u.; ΔE_f (raw) = 4.0 eV/f.u.; total energy = -13.5 eV/cell; space-group type = P4/mmm
1.0
5.747 0.000 0.000
0.000 5.747 0.000
0.000 0.000 5.669
Ca Cu Sb Te
1 1 2 1
direct
0.000 0.000 0.000
0.500 0.500 0.500
0.000 0.500 0.000
0.500 0.000 0.000
0.000 0.000 0.500